## a
First-principles (GGA-PBE) data for an optimized crystal structure of PmCuB, as listed in Alexandria via LeMat-Bulk.

- calculated density (g cm⁻³) = 6.8

Cell lengths 3.6340, 3.6340, 8.1363 Å; angles 90.00, 90.00, 90.00 degrees
Atoms (fractional coordinates):
Pm 0.2500 0.2500 0.2086
Pm 0.7500 0.7500 0.7914
Cu 0.2500 0.7500 0.5000
Cu 0.7500 0.2500 0.5000
B 0.2500 0.2500 0.6401
B 0.7500 0.7500 0.3599


## b
First-principles (GGA-PBE) data for an optimized crystal structure of PmCuB, as listed in Alexandria via LeMat-Bulk.

- calculated density (g cm⁻³) = 7.3

Cell lengths 3.7346, 3.7346, 4.1056 Å; angles 90.00, 90.00, 120.00 degrees
Atoms (fractional coordinates):
Pm 0.0000 0.0000 0.0000
Cu 0.6667 0.3333 0.5000
B 0.3333 0.6667 0.5000


Least stable structure: a


## a
First-principles (GGA-PBE) data for an optimized crystal structure of CuB3Pt, as listed in Alexandria via LeMat-Bulk.

- calculated density (g cm⁻³) = 8.6

Cell lengths 3.8315, 3.8315, 3.8315 Å; angles 90.00, 90.00, 90.00 degrees
Atoms (fractional coordinates):
Cu 0.0000 0.0000 0.0000
B 0.0000 0.0000 0.5000
B 0.0000 0.5000 0.0000
B 0.5000 0.0000 0.0000
Pt 0.5000 0.5000 0.5000


## b
First-principles (GGA-PBE) data for an optimized crystal structure of CuB3Pt, as listed in Alexandria via LeMat-Bulk.

- calculated density (g cm⁻³) = 6.9

Cell lengths 4.1291, 4.1291, 4.1291 Å; angles 90.00, 90.00, 90.00 degrees
Atoms (fractional coordinates):
Cu 0.0000 0.0000 0.0000
B 0.0000 0.5000 0.5000
B 0.5000 0.0000 0.5000
B 0.5000 0.5000 0.0000
Pt 0.5000 0.5000 0.5000


Least stable structure: a


## a
First-principles (GGA-PBE) data for an optimized crystal structure of CuB2Pt, as listed in Alexandria via LeMat-Bulk.

- calculated density (g cm⁻³) = 8.7

Cell lengths 5.7820, 5.7820, 5.7820 Å; angles 131.06, 131.06, 71.72 degrees
Atoms (fractional coordinates):
Cu 0.0000 0.0000 0.0000
Cu 0.7500 0.2500 0.5000
B 0.1299 0.6250 0.0049
B 0.3750 0.3799 0.5049
B 0.6201 0.1250 0.9951
B 0.8750 0.8701 0.4951
Pt 0.2500 0.7500 0.5000
Pt 0.5000 0.5000 0.0000


## b
First-principles (GGA-PBE) data for an optimized crystal structure of CuB2Pt, as listed in Alexandria via LeMat-Bulk.

- calculated density (g cm⁻³) = 11.6

Cell lengths 3.8470, 3.8470, 3.8470 Å; angles 60.00, 60.00, 60.00 degrees
Atoms (fractional coordinates):
Cu 0.0000 0.0000 0.0000
B 0.2500 0.2500 0.2500
B 0.7500 0.7500 0.7500
Pt 0.5000 0.5000 0.5000


Least stable structure: b


## a
First-principles (GGA-PBE) data for an optimized crystal structure of RbCu3B, as listed in Alexandria via LeMat-Bulk.

- calculated density (g cm⁻³) = 2.9

Cell lengths 5.4738, 5.4738, 5.4738 Å; angles 90.00, 90.00, 90.00 degrees
Atoms (fractional coordinates):
Rb 0.0000 0.0000 0.0000
Cu 0.0000 0.0000 0.5000
Cu 0.0000 0.5000 0.0000
Cu 0.5000 0.0000 0.0000
B 0.5000 0.5000 0.5000


## b
First-principles (GGA-PBE) data for an optimized crystal structure of RbCu3B, as listed in Alexandria via LeMat-Bulk.

- calculated density (g cm⁻³) = 5.8

Cell lengths 4.3417, 4.3417, 4.3417 Å; angles 90.00, 90.00, 90.00 degrees
Atoms (fractional coordinates):
Rb 0.0000 0.0000 0.0000
Cu 0.0000 0.5000 0.5000
Cu 0.5000 0.0000 0.5000
Cu 0.5000 0.5000 0.0000
B 0.5000 0.5000 0.5000


Least stable structure: a


## a
First-principles (GGA-PBE) data for an optimized crystal structure of CuReB3, as listed in Alexandria via LeMat-Bulk.

- calculated density (g cm⁻³) = 9.0

Cell lengths 3.7385, 3.7385, 3.7385 Å; angles 90.00, 90.00, 90.00 degrees
Atoms (fractional coordinates):
Cu 0.0000 0.0000 0.0000
Re 0.5000 0.5000 0.5000
B 0.0000 0.0000 0.5000
B 0.0000 0.5000 0.0000
B 0.5000 0.0000 0.0000


## b
First-principles (GGA-PBE) data for an optimized crystal structure of CuReB3, as listed in Alexandria via LeMat-Bulk.

- calculated density (g cm⁻³) = 6.8

Cell lengths 4.0940, 4.0940, 4.0940 Å; angles 90.00, 90.00, 90.00 degrees
Atoms (fractional coordinates):
Cu 0.0000 0.0000 0.0000
Re 0.5000 0.5000 0.5000
B 0.0000 0.5000 0.5000
B 0.5000 0.0000 0.5000
B 0.5000 0.5000 0.0000


Least stable structure: a


## a
First-principles (GGA-PBE) data for an optimized crystal structure of Cu2Re2B, as listed in Alexandria via LeMat-Bulk.

- calculated density (g cm⁻³) = 13.2

Cell lengths 7.2048, 7.2048, 7.2048 Å; angles 155.49, 155.49, 34.93 degrees
Atoms (fractional coordinates):
Cu 0.2500 0.7500 0.5000
Cu 0.7500 0.2500 0.5000
Re 0.0860 0.0860 0.0000
Re 0.9140 0.9140 0.0000
B 0.5000 0.5000 0.0000


## b
First-principles (GGA-PBE) data for an optimized crystal structure of Cu2Re2B, as listed in Alexandria via LeMat-Bulk.

- calculated density (g cm⁻³) = 12.7

Cell lengths 5.6278, 5.6278, 4.2143 Å; angles 90.00, 90.00, 90.00 degrees
Atoms (fractional coordinates):
Cu 0.1554 0.3446 0.0000
Cu 0.3446 0.8446 0.0000
Cu 0.6554 0.1554 0.0000
Cu 0.8446 0.6554 0.0000
Re 0.1576 0.6576 0.5000
Re 0.3424 0.1576 0.5000
Re 0.6576 0.8424 0.5000
Re 0.8424 0.3424 0.5000
B 0.0000 0.0000 0.5000
B 0.5000 0.5000 0.5000


Least stable structure: a


## a
First-principles (GGA-PBE) data for an optimized crystal structure of Cu3ReB, as listed in Alexandria via LeMat-Bulk.

- calculated density (g cm⁻³) = 6.3

Cell lengths 4.6789, 4.6789, 4.6789 Å; angles 90.00, 90.00, 90.00 degrees
Atoms (fractional coordinates):
Cu 0.0000 0.0000 0.5000
Cu 0.0000 0.5000 0.0000
Cu 0.5000 0.0000 0.0000
Re 0.0000 0.0000 0.0000
B 0.5000 0.5000 0.5000


## b
First-principles (GGA-PBE) data for an optimized crystal structure of Cu3ReB, as listed in Alexandria via LeMat-Bulk.

- calculated density (g cm⁻³) = 10.8

Cell lengths 3.9067, 3.9067, 3.9067 Å; angles 90.00, 90.00, 90.00 degrees
Atoms (fractional coordinates):
Cu 0.0000 0.0000 0.5000
Cu 0.0000 0.5000 0.0000
Cu 0.5000 0.0000 0.0000
Re 0.5000 0.5000 0.5000
B 0.0000 0.0000 0.0000


Least stable structure: a


## a
First-principles (GGA-PBE) data for an optimized crystal structure of CuB2Rh2, as listed in Alexandria via LeMat-Bulk.

- calculated density (g cm⁻³) = 8.8

Cell lengths 6.8771, 6.8771, 6.8771 Å; angles 155.70, 155.70, 34.63 degrees
Atoms (fractional coordinates):
Cu 0.0000 0.0000 0.0000
B 0.2500 0.7500 0.5000
B 0.7500 0.2500 0.5000
Rh 0.3688 0.3688 0.0000
Rh 0.6312 0.6312 0.0000


## b
First-principles (GGA-PBE) data for an optimized crystal structure of CuB2Rh2, as listed in Alexandria via LeMat-Bulk.

- calculated density (g cm⁻³) = 9.2

Cell lengths 5.5453, 5.5453, 2.9945 Å; angles 90.00, 90.00, 145.31 degrees
Atoms (fractional coordinates):
Cu 0.0000 0.0000 0.0000
B 0.2036 0.7964 0.0000
B 0.7964 0.2036 0.0000
Rh 0.3570 0.6430 0.5000
Rh 0.6430 0.3570 0.5000


Least stable structure: a